# PBE with a Hubbard U Li3V2Cr2O8, relaxed
# - raw total energy (eV for the cell shown) = -105.8
data_Li3V2Cr2O8
_cell_length_a 5.891
_cell_length_b 5.939
_cell_length_c 5.947
_cell_angle_alpha 90.62
_cell_angle_beta 119.12
_cell_angle_gamma 119.61
_symmetry_space_group_name_H-M 'P -1'
_symmetry_Int_Tables_number 2
loop_
_symmetry_equiv_pos_as_xyz
'x,y,z'
'-x,-y,-z'
loop_
_atom_site_label
_atom_site_type_symbol
_atom_site_fract_x
_atom_site_fract_y
_atom_site_fract_z
_atom_site_occupancy
Li1 Li 0.000 0.000 0.000 1
Li2 Li 0.000 0.000 0.500 1
Li3 Li 0.500 0.500 0.000 1
V1 V 0.000 0.500 0.500 1
V2 V 0.500 0.000 0.500 1
Cr1 Cr 0.000 0.500 0.000 1
Cr2 Cr 0.500 0.500 0.500 1
O1 O 0.002 0.733 0.255 1
O2 O 0.025 0.282 0.264 1
O3 O 0.460 0.728 0.714 1
O4 O 0.480 0.737 0.264 1